[1]
# AlNiHg2 | the Alexandria database | PBE | relaxed
# D(E_F)   0.448 states/eV/atom
# Magnetic moment   0.0 μB per formula unit
# E_form   0.2991 eV/atom
data_AlNiHg2
_chemical_formula_sum 'Al1 Ni1 Hg2'
_space_group_name_H-M_alt 'P 1'
_space_group_IT_number 1
_cell_length_a 4.643
_cell_length_b 4.643
_cell_length_c 4.643
_cell_angle_alpha 60.00
_cell_angle_beta 60.00
_cell_angle_gamma 60.00
loop_
_space_group_symop_operation_xyz
'x,y,z'
loop_
_atom_site_label
_atom_site_fract_x
_atom_site_fract_y
_atom_site_fract_z
Hg1 0.250 0.250 0.250
Hg2 0.000 0.000 0.000
Ni1 0.750 0.750 0.750
Al1 0.500 0.500 0.500


[2]
# Ti2Cu3Ni4 | the Alexandria database | PBE | relaxed
# D(E_F)   0.574 states/eV/atom
# Magnetic moment   0.0 μB per formula unit
# E_form   -0.2414 eV/atom
data_Ti2Cu3Ni4
_chemical_formula_sum 'Ti2 Cu3 Ni4'
_space_group_name_H-M_alt 'P 1'
_space_group_IT_number 1
_cell_length_a 4.087
_cell_length_b 4.076
_cell_length_c 7.631
_cell_angle_alpha 90.21
_cell_angle_beta 90.00
_cell_angle_gamma 120.09
loop_
_space_group_symop_operation_xyz
'x,y,z'
loop_
_atom_site_label
_atom_site_fract_x
_atom_site_fract_y
_atom_site_fract_z
Cu1 0.667 0.333 0.440
Cu2 0.000 0.000 0.000
Cu3 0.333 0.667 0.560
Ni1 0.000 0.000 0.668
Ti1 0.333 0.666 0.219
Ni2 0.334 0.667 0.890
Ti2 0.667 0.334 0.781
Ni3 0.000 0.000 0.332
Ni4 0.666 0.333 0.110